[1]
{
  "formula": "LiFe2OF5",
  "functional": "GGA-PBEsol",
  "state": "relaxed",
  "lattice_angstrom": [[5.239, 0.000, 0.000], [-2.590, 4.747, 0.000], [-1.044, -2.446, 8.281]],
  "species": ["Li", "Li", "Fe", "Fe", "Fe", "Fe", "O", "O", "F", "F", "F", "F", "F", "F", "F", "F", "F", "F"],
  "frac_coords": [[0.000, 0.000, 0.000], [0.290, 0.615, 0.445], [0.061, 0.565, 0.128], [0.410, 0.891, 0.791], [0.738, 0.233, 0.487], [0.875, 0.829, 0.632], [0.074, 0.594, 0.634], [0.600, 0.018, 0.637], [0.226, 0.755, 0.958], [0.227, 0.119, 0.811], [0.269, 0.371, 0.133], [0.397, 0.885, 0.318], [0.527, 0.458, 0.484], [0.633, 0.703, 0.799], [0.748, 0.196, 0.959], [0.857, 0.758, 0.129], [0.902, 0.395, 0.310], [0.978, 0.030, 0.473]],
  "density_g_cm3": 3.70,
  "total_energy_ev_per_cell": -105.9,
  "e_form_raw_ev_per_atom": -2.02,
  "crystal_system": "triclinic"
}

=====

[2]
{
  "formula": "Mg2ZrPt",
  "functional": "GGA-PBEsol",
  "state": "relaxed",
  "lattice_angstrom": [[3.398, 0.000, 0.000], [0.000, 3.398, 0.000], [0.000, 0.000, 6.695]],
  "species": ["Mg", "Mg", "Zr", "Pt"],
  "frac_coords": [[0.000, 0.000, 0.000], [0.500, 0.500, 0.265], [0.500, 0.500, 0.712], [0.000, 0.000, 0.510]],
  "formation_enthalpy_0k_ev_per_atom": -0.476,
  "density_g_cm3": 7.19,
  "total_energy_ev_per_cell": -21.4,
  "crystal_system": "tetragonal"
}

=====

[3]
{
  "formula": "GaPbBr3",
  "functional": "GGA-PBEsol",
  "state": "relaxed",
  "lattice_angstrom": [[5.229, 0.000, 0.000], [0.000, 5.229, 0.000], [0.000, 0.000, 5.229]],
  "species": ["Ga", "Pb", "Br", "Br", "Br"],
  "frac_coords": [[0.000, 0.000, 0.000], [0.500, 0.500, 0.500], [0.000, 0.000, 0.500], [0.000, 0.500, 0.000], [0.500, 0.000, 0.000]],
  "density_g_cm3": 6.00,
  "total_energy_ev_per_cell": -14.8,
  "e_form_raw_ev_per_atom": -0.36,
  "crystal_system": "cubic"
}

=====

[4]
{
  "formula": "LiCrFeO4",
  "functional": "GGA-PBEsol",
  "state": "relaxed",
  "lattice_angstrom": [[5.776, 0.000, 0.000], [0.000, 5.776, 0.000], [0.000, 0.000, 8.126]],
  "species": ["Li", "Li", "Li", "Li", "Cr", "Cr", "Cr", "Cr", "Fe", "Fe", "Fe", "Fe", "O", "O", "O", "O", "O", "O", "O", "O", "O", "O", "O", "O", "O", "O", "O", "O"],
  "frac_coords": [[0.000, 0.236, 0.000], [0.000, 0.764, 0.500], [0.236, 0.000, 0.250], [0.764, 0.000, 0.750], [0.234, 0.500, 0.250], [0.500, 0.234, 0.000], [0.500, 0.766, 0.500], [0.766, 0.500, 0.750], [0.255, 0.255, 0.625], [0.255, 0.745, 0.875], [0.745, 0.255, 0.375], [0.745, 0.745, 0.125], [0.016, 0.268, 0.258], [0.016, 0.732, 0.242], [0.268, 0.016, 0.992], [0.268, 0.485, 0.016], [0.268, 0.515, 0.484], [0.268, 0.984, 0.508], [0.485, 0.268, 0.234], [0.485, 0.732, 0.266], [0.515, 0.268, 0.766], [0.515, 0.732, 0.734], [0.732, 0.016, 0.008], [0.732, 0.485, 0.984], [0.732, 0.515, 0.516], [0.732, 0.984, 0.492], [0.984, 0.268, 0.742], [0.984, 0.732, 0.758]],
  "density_g_cm3": 4.38,
  "total_energy_ev_per_cell": -215.3,
  "e_form_raw_ev_per_atom": -1.66,
  "de_polymorph_mev_per_atom": 84,
  "crystal_system": "tetragonal"
}